Record 1
DFT (GGA-PBE) results for crystalline La12NdIn4N3 at its relaxed geometry.

* VASP energy: -5.55 eV per atom
* formation energy (no corrections): -11.2 eV/f.u.
* crystal system: cubic

a b c (Å): 9.060 9.060 9.060
angles (deg): 109.47 109.47 109.47
Atoms (fractional coordinates):
In1 0.000 0.500 0.000
In2 0.500 0.500 0.500
In3 0.500 0.000 0.000
In4 0.000 0.000 0.500
La1 0.250 0.750 0.500
La2 0.500 0.750 0.250
La3 0.275 0.000 0.275
La4 0.500 0.250 0.750
La5 0.000 0.725 0.725
La6 0.250 0.500 0.750
La7 0.750 0.250 0.500
La8 0.275 0.275 0.000
La9 0.725 0.000 0.725
La10 0.725 0.725 0.000
La11 0.000 0.275 0.275
La12 0.750 0.500 0.250
Nd1 0.000 0.000 0.000
N1 0.500 0.500 0.000
N2 0.000 0.500 0.500
N3 0.500 0.000 0.500

=====

Record 2
DFT (GGA-PBE) results for crystalline CsKPd at its relaxed geometry.

* VASP energy: -2.24 eV per atom
* crystal system: trigonal
* energy of formation: 0.138 eV per atom

a b c (Å): 5.702 5.305 5.305
angles (deg): 120.00 90.00 90.00
Atoms (fractional coordinates):
Pd1 0.054 0.000 0.000
K1 0.221 0.333 0.667
Cs1 0.725 0.667 0.333

=====

Record 3
DFT (GGA-PBE) results for crystalline ZnPd14Pt at its relaxed geometry.

* VASP energy: -5.07 eV per atom
* crystal system: orthorhombic
* energy of formation: -0.074 eV per atom

a b c (Å): 5.548 5.548 9.153
angles (deg): 90.00 90.00 119.72
Atoms (fractional coordinates):
Pd1 0.044 0.455 0.500
Pd2 0.376 0.127 0.746
Pd3 0.207 0.294 0.000
Pd4 0.376 0.127 0.254
Pd5 0.706 0.294 0.000
Pd6 0.706 0.793 0.000
Pd7 0.206 0.794 0.000
Pd8 0.545 0.956 0.500
Pd9 0.875 0.125 0.250
Pd10 0.875 0.125 0.750
Pd11 0.873 0.624 0.254
Pd12 0.376 0.624 0.252
Pd13 0.873 0.624 0.746
Pd14 0.376 0.624 0.748
Pt1 0.043 0.957 0.500
Zn1 0.543 0.457 0.500

=====

Record 4
DFT (GGA-PBE) results for crystalline Sc2Ti3Si4 at its relaxed geometry.

* VASP energy: -7.29 eV per atom
* formation energy (no corrections): -7.5 eV/f.u.
* crystal system: monoclinic

a b c (Å): 6.664 6.867 6.856
angles (deg): 90.00 90.00 108.98
Atoms (fractional coordinates):
Si1 0.863 0.081 0.534
Si2 0.632 0.511 0.626
Si3 0.363 0.081 0.966
Si4 0.868 0.489 0.126
Si5 0.637 0.919 0.034
Si6 0.132 0.511 0.874
Si7 0.368 0.489 0.374
Si8 0.137 0.919 0.466
Ti1 0.000 0.500 0.500
Ti2 0.248 0.254 0.680
Ti3 0.252 0.746 0.180
Ti4 0.748 0.254 0.820
Ti5 0.500 0.500 0.000
Ti6 0.752 0.746 0.320
Sc1 0.067 0.190 0.170
Sc2 0.933 0.810 0.830
Sc3 0.567 0.190 0.330
Sc4 0.433 0.810 0.670

=====

Record 5
DFT (GGA-PBE) results for crystalline NdThCdTc at its relaxed geometry.

* VASP energy: -5.84 eV per atom
* crystal system: cubic
* energy of formation: 0.026 eV per atom

a b c (Å): 5.223 5.223 5.223
angles (deg): 60.00 60.00 60.00
Atoms (fractional coordinates):
Tc1 0.750 0.750 0.750
Th1 0.000 0.000 0.000
Nd1 0.500 0.500 0.500
Cd1 0.250 0.250 0.250

=====

Record 6
DFT (GGA-PBE) results for crystalline Hf6CoSn3 at its relaxed geometry.

* VASP energy: -8.08 eV per atom
* crystal system: orthorhombic
* energy of formation: -0.195 eV per atom

a b c (Å): 4.869 9.452 9.452
angles (deg): 102.43 90.00 90.00
Atoms (fractional coordinates):
Hf1 0.160 0.393 0.930
Hf2 0.667 0.274 0.423
Hf3 0.660 0.930 0.393
Hf4 0.167 0.726 0.577
Hf5 0.167 0.423 0.274
Hf6 0.667 0.577 0.726
Hf7 0.160 0.070 0.607
Hf8 0.815 0.936 0.064
Hf9 0.315 0.064 0.936
Hf10 0.659 0.261 0.739
Hf11 0.660 0.607 0.070
Hf12 0.159 0.739 0.261
Sn1 0.162 0.394 0.606
Sn2 0.172 0.701 0.899
Sn3 0.172 0.101 0.299
Sn4 0.672 0.899 0.701
Sn5 0.662 0.606 0.394
Sn6 0.672 0.299 0.101
Co1 0.351 0.889 0.111
Co2 0.851 0.111 0.889

=====

Record 7
DFT (GGA-PBE) results for crystalline Pa2TcCl at its relaxed geometry.

* VASP energy: -8.33 eV per atom
* formation energy (no corrections): -2.1 eV/f.u.
* crystal system: tetragonal

a b c (Å): 3.241 3.241 7.970
angles (deg): 90.00 90.00 90.00
Atoms (fractional coordinates):
Pa1 0.000 0.000 0.769
Pa2 0.000 0.000 0.231
Cl1 0.500 0.500 0.500
Tc1 0.500 0.500 0.000

=====

Record 8
DFT (GGA-PBE) results for crystalline La3SI at its relaxed geometry.

* VASP energy: -4.93 eV per atom
* formation energy (no corrections): -4.2 eV/f.u.
* crystal system: cubic

a b c (Å): 5.543 5.543 5.543
angles (deg): 90.00 90.00 90.00
Last column: magnetic moment on the atom in μB.
Atoms (fractional coordinates):
S1 0.000 0.000 0.000  0.00
La1 0.500 0.000 0.000  0.26
La2 0.000 0.500 0.000  0.19
La3 0.000 0.000 0.500  0.26
I1 0.500 0.500 0.500  0.02